Entry from Alexandria via LeMat-Bulk: a relaxed structure of CdGaFeO4 (PBE+U).

Cell: 5.596 5.596 6.419 Å, 90.00 90.00 113.37°
Fractional coordinates of all 14 atoms:
Cd1 0.000 0.000 0.000
Cd2 0.000 0.000 0.500
Ga1 0.351 0.649 0.750
Ga2 0.649 0.351 0.250
Fe1 0.352 0.648 0.250
Fe2 0.648 0.352 0.750
O1 0.249 0.751 0.504
O2 0.249 0.751 0.996
O3 0.278 0.282 0.750
O4 0.282 0.278 0.250
O5 0.718 0.722 0.750
O6 0.722 0.718 0.250
O7 0.751 0.249 0.004
O8 0.751 0.249 0.496

Calculated volume = 13.18 Å³/atom
DFT total energy = -5.6250 eV/atom